Density functional theory data (PBE with a Hubbard U) for Ni2RuF2 after structural relaxation.

Polymorph energy (0 for the lowest one)   0.235 eV per atom
ρ   7.2 g/cm³

```
data_Ni2RuF2
_chemical_formula_sum 'Ni4 Ru2 F4'
_cell_length_a 6.803
_cell_length_b 6.803
_cell_length_c 2.565
_cell_angle_alpha 90.00
_cell_angle_beta 90.00
_cell_angle_gamma 90.00
_space_group_name_H-M_alt 'P 4/m b m'
_space_group_IT_number 127
_space_group_name_Hall '-P 4 2ab'
loop_
_atom_site_label
_atom_site_fract_x
_atom_site_fract_y
_atom_site_fract_z
_atom_site_occupancy
Ni1 0.176 0.324 0.000 1
Ru1 0.000 0.000 0.500 1
F1 0.128 0.628 0.500 1
```